## CsHoAs (PBE-GGA)

Data for crystalline CsHoAs at its relaxed geometry.

Cell: 5.1575 5.1575 5.1575 Å, 60.00 60.00 60.00°
Fractional positions:
Cs: 0.0000 0.0000 0.0000
Ho: 0.7500 0.7500 0.7500
As: 0.5000 0.5000 0.5000

Output
- crystal system = cubic
- raw total energy (eV/atom) = -3.268
- mass density (g/cm³) = 6.38